No. 1
Entry from Alexandria via LeMat-Bulk: a relaxed RbFe3Ni crystal (PBE).

a b c (Å): 4.655 4.655 4.655
angles (deg): 90.00 90.00 90.00
Site moments in Bohr magnetons follow the coordinates.
Positions (direct):
Fe (0.500, 0.000, 0.000)  2.61
Rb (0.500, 0.500, 0.500)  0.00
Fe (0.000, 0.000, 0.500)  3.47
Ni (0.000, 0.000, 0.000)  0.81
Fe (0.000, 0.500, 0.000)  3.21

Computed properties:
**Distance to the lowest polymorph of the same formula**: 0 meV/atom
**ρ**: 5.1 Mg/m³
**Formation energy from the elements**: 1118.4 meV per atom
**Raw total energy**: -26.545 eV for the cell shown
**Density of states at the Fermi level**: 1.083 states/eV/atom



No. 2
Entry from Alexandria via LeMat-Bulk: a relaxed MgScPt crystal (PBE).

a b c (Å): 4.518 4.518 4.518
angles (deg): 60.00 60.00 60.00
Positions (direct):
Sc (0.750, 0.750, 0.750)
Mg (0.000, 0.000, 0.000)
Pt (0.500, 0.500, 0.500)

Computed properties:
**ρ**: 6.7 Mg/m³
**Formation energy from the elements**: -238.7 meV per atom
**Raw total energy**: -14.683 eV for the cell shown
**Density of states at the Fermi level**: 1.049 states/eV/atom



No. 3
Entry from Alexandria via LeMat-Bulk: a relaxed Pa3InPt3 crystal (PBE).

a b c (Å): 4.264 11.323 13.580
angles (deg): 90.00 90.00 90.00
Site moments in Bohr magnetons follow the coordinates.
Positions (direct):
Pa (0.750, 0.449, 0.890)  0.34
Pt (0.250, 0.565, 0.392)  0.00
In (0.250, 0.020, 0.790)  0.00
Pt (0.750, 0.935, 0.892)  0.00
Pt (0.750, 0.223, 0.354)  0.00
In (0.250, 0.520, 0.710)  0.00
Pt (0.250, 0.777, 0.646)  0.00
Pt (0.750, 0.874, 0.409)  0.00
In (0.750, 0.980, 0.210)  0.00
Pa (0.750, 0.232, 0.711)  0.24
Pa (0.250, 0.551, 0.110)  0.34
Pa (0.250, 0.768, 0.289)  0.24
Pa (0.750, 0.653, 0.518)  0.04
Pt (0.750, 0.374, 0.091)  0.00
Pa (0.750, 0.153, 0.982)  0.04
Pt (0.750, 0.723, 0.146)  0.00
Pa (0.250, 0.268, 0.211)  0.24
In (0.750, 0.480, 0.290)  0.00
Pa (0.250, 0.347, 0.482)  0.04
Pt (0.250, 0.126, 0.591)  0.00
Pa (0.750, 0.949, 0.610)  0.34
Pt (0.750, 0.435, 0.608)  0.00
Pt (0.250, 0.065, 0.108)  0.00
Pt (0.250, 0.626, 0.909)  0.00
Pt (0.250, 0.277, 0.854)  0.00
Pa (0.250, 0.051, 0.390)  0.34
Pa (0.750, 0.732, 0.789)  0.24
Pa (0.250, 0.847, 0.018)  0.04

Computed properties:
**ρ**: 14.1 Mg/m³
**Formation energy from the elements**: -706.1 meV per atom
**Raw total energy**: -217.164 eV for the cell shown
**Density of states at the Fermi level**: 1.610 states/eV/atom



No. 4
Entry from Alexandria via LeMat-Bulk: a relaxed ErSc7 crystal (PBE).

a b c (Å): 3.260 8.077 8.077
angles (deg): 78.85 78.37 78.37
Positions (direct):
Sc (0.634, 0.597, 0.136)
Sc (0.256, 0.245, 0.245)
Sc (0.366, 0.403, 0.864)
Sc (0.366, 0.864, 0.403)
Sc (0.744, 0.755, 0.755)
Er (0.000, 0.000, 0.000)
Sc (0.000, 0.500, 0.500)
Sc (0.634, 0.136, 0.597)

Computed properties:
**Distance to the lowest polymorph of the same formula**: 0 meV/atom
**ρ**: 4.0 Mg/m³
**Formation energy from the elements**: 31.9 meV per atom
**Raw total energy**: -48.628 eV for the cell shown
**Density of states at the Fermi level**: 1.905 states/eV/atom



No. 5
Entry from Alexandria via LeMat-Bulk: a relaxed Pm4PrSm2Tm crystal (PBE).

a b c (Å): 9.604 9.604 11.926
angles (deg): 128.30 128.30 88.43
Positions (direct):
Sm (0.500, 0.000, 0.000)
Pm (0.233, 0.231, 0.479)
Tm (0.000, 0.000, 0.000)
Sm (0.500, 0.000, 0.500)
Pm (0.744, 0.255, 0.500)
Tm (0.500, 0.500, 0.500)
Pm (0.256, 0.745, 0.500)
Pm (0.755, 0.244, 0.000)
Sm (0.000, 0.000, 0.500)
Pm (0.245, 0.756, 0.000)
Pr (0.000, 0.500, 0.500)
Pm (0.269, 0.267, 0.021)
Sm (0.500, 0.500, 0.000)
Pm (0.767, 0.769, 0.521)
Pr (0.000, 0.500, 0.000)
Pm (0.731, 0.733, 0.979)

Computed properties:
**ρ**: 7.2 Mg/m³
**Formation energy from the elements**: 385.4 meV per atom
**Raw total energy**: -69.217 eV for the cell shown
**Density of states at the Fermi level**: 2.464 states/eV/atom



No. 6
Entry from Alexandria via LeMat-Bulk: a relaxed CaIn2Pb crystal (PBE).

a b c (Å): 6.024 6.024 4.728
angles (deg): 66.90 66.90 46.18
Positions (direct):
In (0.000, 0.000, 0.000)
Pb (0.500, 0.500, 0.500)
In (0.750, 0.750, 0.750)
Ca (0.250, 0.250, 0.250)

Computed properties:
**ρ**: 7.1 Mg/m³
**Formation energy from the elements**: -287.2 meV per atom
**Raw total energy**: -12.336 eV for the cell shown
**Density of states at the Fermi level**: 0.561 states/eV/atom



No. 7
Entry from Alexandria via LeMat-Bulk: a relaxed TbCePm2P4 crystal (PBE).

a b c (Å): 4.093 7.078 7.089
angles (deg): 109.39 90.00 90.00
Site moments in Bohr magnetons follow the coordinates.
Positions (direct):
Pm (0.500, 0.000, 0.500)  0.01
Ce (0.500, 0.500, 0.000)  0.35
P (0.500, 0.752, 0.757)  -0.01
P (0.500, 0.248, 0.243)  -0.01
Pm (0.000, 0.500, 0.500)  0.00
Tb (0.000, 0.000, 0.000)  0.00
P (0.000, 0.252, 0.756)  -0.01
P (0.000, 0.748, 0.244)  -0.01

Computed properties:
**ρ**: 6.1 Mg/m³
**Formation energy from the elements**: -1566.2 meV per atom
**Raw total energy**: -54.235 eV for the cell shown
**Density of states at the Fermi level**: 0.659 states/eV/atom



No. 8
Entry from Alexandria via LeMat-Bulk: a relaxed VFe2AsH crystal (PBE).

a b c (Å): 3.642 3.642 3.932
angles (deg): 90.00 90.00 90.00
Site moments in Bohr magnetons follow the coordinates.
Positions (direct):
As (0.500, 0.500, 0.500)  0.02
H (0.000, 0.000, 0.000)  -0.01
Fe (0.000, 0.500, 0.000)  1.93
Fe (0.500, 0.000, 0.000)  1.93
V (0.000, 0.000, 0.500)  -0.74

Computed properties:
**ρ**: 7.6 Mg/m³
**Raw total energy**: -34.462 eV for the cell shown
**Density of states at the Fermi level**: 0.944 states/eV/atom



The lowest raw total energy belongs to which entry? Pa3InPt3